PBE LaCrSb2Mo, optimized geometry; energy relative to the elements, uncorrected = 1710.6 meV per atom; electronic total energy = -25.074 eV/f.u.; density of states at the Fermi level = 5.32 states/eV per cell
1.0
5.917 0.000 0.000
0.000 5.917 0.000
0.000 0.000 5.339
La Cr Sb Mo
1 1 2 1
Direct
0.000 0.000 0.000
0.000 0.000 0.500
0.000 0.500 0.000
0.500 0.000 0.000
0.500 0.500 0.500

---

PBE LaCr2TcMo, optimized geometry; E_form = 2.217 eV per atom; electronic total energy = -34.286 eV/f.u.; density of states at the Fermi level = 8.88 states/eV per cell
1.0
4.425 0.000 0.000
0.000 4.425 0.000
0.000 0.000 4.670
La Cr Tc Mo
1 2 1 1
Direct
0.000 0.000 0.000
0.000 0.500 0.000
0.500 0.000 0.000
0.000 0.000 0.500
0.500 0.500 0.500